No. 1
ThScPt: optimized geometry, PBE-GGA.

Cell: 3.4552 3.4552 11.9174 Å, 90.00 90.00 90.00°
Space group I4mm (No. 107)
One atom of each set of equivalent atoms:
Th 0.0000 0.0000 0.0000 [2 per cell]
Sc 0.0000 0.0000 0.2843 [2 per cell]
Pt 0.0000 0.0000 0.6663 [2 per cell]

Summary:
The calculation puts the energy above the most stable polymorph in this dataset at 0.1528 eV per atom.



No. 2
ThScPt: optimized geometry, PBE-GGA.

Cell: 3.7332 11.7596 6.6411 Å, 90.00 90.00 90.00°
Space group Cmcm (No. 63)
One atom of each set of equivalent atoms:
Th 0.0000 0.2082 0.2500 [4 per cell]
Sc 0.0000 0.5000 0.0000 [4 per cell]
Pt 0.0000 0.1043 0.7500 [4 per cell]

Summary:
The calculation puts the energy above the most stable polymorph in this dataset at 0.0109 eV per atom.



No. 3
ThScPt2: optimized geometry, PBE-GGA.

Cell: 5.8084 4.5259 7.1516 Å, 90.00 112.82 90.00°
Space group P2_1/m (No. 11)
One atom of each set of equivalent atoms:
Th 0.1769 0.2500 0.3804 [2 per cell]
Sc 0.3814 0.7500 0.0934 [2 per cell]
Pt 0.1076 0.2500 0.9137 [2 per cell]
Pt 0.3607 0.7500 0.6971 [2 per cell]

Summary:
The calculation puts the energy above the most stable polymorph in this dataset at 0.0000 eV per atom.



No. 4
ThScPt2: optimized geometry, PBE-GGA.

Cell: 3.3339 3.3339 7.3803 Å, 90.00 90.00 90.00°
Space group P4/mmm (No. 123)
One atom of each set of equivalent atoms:
Th 0.0000 0.0000 0.0000 [1 per cell]
Sc 0.0000 0.0000 0.5000 [1 per cell]
Pt 0.5000 0.5000 0.2879 [2 per cell]

Summary:
The calculation puts the energy above the most stable polymorph in this dataset at 0.0802 eV per atom.



No. 5
ThSc2Pt: optimized geometry, PBE-GGA.

Cell: 6.8150 9.3763 6.1329 Å, 90.00 90.00 90.00°
Space group Pnma (No. 62)
One atom of each set of equivalent atoms:
Th 0.0212 0.2500 0.1354 [4 per cell]
Sc 0.1826 0.0557 0.6603 [8 per cell]
Pt 0.1132 0.7500 0.4096 [4 per cell]

Summary:
The calculation puts the energy above the most stable polymorph in this dataset at 0.0000 eV per atom.



No. 6
Th2ScPt9: optimized geometry, PBE-GGA.

Cell: 4.1772 4.1772 12.4125 Å, 90.00 90.00 90.00°
Space group P4/mmm (No. 123)
One atom of each set of equivalent atoms:
Th 0.0000 0.0000 0.1743 [2 per cell]
Sc 0.0000 0.0000 0.5000 [1 per cell]
Pt 0.0000 0.5000 0.0000 [2 per cell]
Pt 0.0000 0.5000 0.3442 [4 per cell]
Pt 0.5000 0.5000 0.1713 [2 per cell]
Pt 0.5000 0.5000 0.5000 [1 per cell]

Summary:
The energy is -7.392 eV/atom.